# 1
A plane-wave DFT calculation with PBE-GGA was carried out for an optimized crystal structure of SrCu3.

a = 3.910 Å, b = 3.910 Å, c = 6.653 Å
α = 90.00°, β = 90.00°, γ = 120.00°
Fractional positions:
Sr 0.000 0.000 0.000
Cu 0.000 0.000 0.500
Cu 0.333 0.667 0.323
Cu 0.333 0.667 0.677

Summary:
The formation energy from the elements comes out at 0.337 eV per atom. As for the crystal system: hexagonal. The total energy comes out at -12.623 eV for the cell shown.

***

# 2
A plane-wave DFT calculation with PBE-GGA was carried out for an optimized crystal structure of Ag3Sn2Au3.

a = 6.888 Å, b = 6.888 Å, c = 5.211 Å
α = 111.54°, β = 111.54°, γ = 44.46°
Fractional positions:
Ag 0.000 0.000 0.000
Ag 0.120 0.120 0.617
Ag 0.880 0.880 0.383
Sn 0.252 0.252 0.247
Sn 0.748 0.748 0.753
Au 0.375 0.375 0.872
Au 0.500 0.500 0.500
Au 0.625 0.625 0.128

Summary:
The formation energy from the elements comes out at -0.038 eV per atom. As for the crystal system: monoclinic. The total energy comes out at -26.692 eV for the cell shown.

***

# 3
A plane-wave DFT calculation with PBE-GGA was carried out for an optimized crystal structure of La2SmSe2O2.

a = 8.513 Å, b = 8.513 Å, c = 8.513 Å
α = 149.64°, β = 149.64°, γ = 43.48°
Fractional positions:
La 0.128 0.128 0.000
La 0.872 0.872 0.000
Sm 0.500 0.500 0.000
Se 0.319 0.319 0.000
Se 0.681 0.681 0.000
O 0.000 0.500 0.500
O 0.500 0.000 0.500

Summary:
As for the crystal system: tetragonal. The total energy comes out at -48.292 eV for the cell shown. For the raw formation energy, the calculation gives -2405 meV per atom.

***

# 4
A plane-wave DFT calculation with PBE-GGA was carried out for an optimized crystal structure of HoU2S6.

a = 7.198 Å, b = 7.198 Å, c = 8.753 Å
α = 124.15°, β = 124.15°, γ = 41.58°
Fractional positions:
Ho 0.000 0.000 0.000
U 0.183 0.183 0.610
U 0.817 0.817 0.390
S 0.038 0.038 0.722
S 0.255 0.255 0.374
S 0.372 0.372 0.949
S 0.628 0.628 0.051
S 0.745 0.745 0.626
S 0.962 0.962 0.278

Summary:
As for the crystal system: monoclinic. The total energy comes out at -64.372 eV for the cell shown. For the raw formation energy, the calculation gives -1384 meV per atom.

***

Which of these has the highest total energy? SrCu3